{"formula": "BeFeN2", "functional": "PBE-GGA", "state": "optimized geometry", "lattice": [[-1.2407, 1.9326, 4.8883], [1.2565, 3.2004, 4.1651], [-1.2403, 4.2261, 3.1259]], "species": ["Be", "Fe", "N", "N"], "frac_coords": [[0.0000, 0.0000, 0.0000], [0.5000, 0.5000, 0.5000], [0.9008, 0.9008, 0.9008], [0.0992, 0.0992, 0.0992]], "formation_energy_uncorrected_ev_per_fu": 0.135, "magnetic_moment_mub_per_fu": 2.0, "vol_a3_per_atom": 9.3}